# PaMnTl2O8 | Alexandria | PBE with a Hubbard U | relaxed
data_PaMnTl2O8
_space_group_name_H-M_alt 'I -4 m 2'
_space_group_IT_number 119
_space_group_name_Hall 'I -4 -2'
_cell_length_a 6.6943
_cell_length_b 6.6943
_cell_length_c 7.7904
_cell_angle_alpha 90.00
_cell_angle_beta 90.00
_cell_angle_gamma 90.00
loop_
_atom_site_label
_atom_site_type_symbol
_atom_site_fract_x
_atom_site_fract_y
_atom_site_fract_z
Pa1 Pa 0.0000 0.0000 0.0000
Mn1 Mn 0.0000 0.5000 0.2500
Tl1 Tl 0.0000 0.0000 0.5000
Tl2 Tl 0.0000 0.5000 0.7500
O1 O 0.0000 0.2018 0.2754
O2 O 0.0000 0.3087 0.9641
# total magnetic moment	0.212	μB per atom
# ρ	7.83	g/cm³
# D(E_F)	8.67	states/eV/f.u.
# V	14.55	Å³/atom
# DFT total energy	-153.58	eV for the cell shown